1.
Entry from the Alexandria database: crystalline Zr2PIr at its relaxed geometry (PBE).

Cell: 3.1711 3.1711 6.9908 Å, 90.00 90.00 90.00°
Closest atoms and distances in Å follow each position.
Atoms (fractional coordinates):
Zr 0.0000 0.0000 0.2374  4 P 2.79, 4 Ir 2.90
Zr 0.0000 0.0000 0.7626  4 P 2.79, 4 Ir 2.90
P 0.5000 0.5000 0.0000  8 Zr 2.79
Ir 0.5000 0.5000 0.5000  8 Zr 2.90, 4 Ir 3.17

Properties
Space group: P4/mmm (123)
Fermi-level density of states (states/eV per cell): 3.202


2.
Entry from the Alexandria database: crystalline ZrPIr2 at its relaxed geometry (PBE).

Cell: 3.0551 3.0551 6.8591 Å, 90.00 90.00 90.00°
Closest atoms and distances in Å follow each position.
Atoms (fractional coordinates):
Zr 0.0000 0.0000 0.0000  4 Ir 2.77, 4 P 2.98, 4 Zr 3.06
P 0.5000 0.5000 0.7014  4 Ir 2.40
Ir 0.0000 0.0000 0.5475  4 P 2.40
Ir 0.5000 0.5000 0.2529  4 Zr 2.77, 8 Ir 2.96-3.06, 1 P 3.08

Properties
Space group: P4mm (99)
Fermi-level density of states (states/eV per cell): 2.170


3.
Entry from the Alexandria database: crystalline ZrPIr3 at its relaxed geometry (PBE).

Cell: 4.4436 4.4436 4.4436 Å, 90.00 90.00 90.00°
Closest atoms and distances in Å follow each position.
Atoms (fractional coordinates):
Zr 0.0000 0.0000 0.0000  12 Ir 3.14
P 0.5000 0.5000 0.5000  6 Ir 2.22
Ir 0.0000 0.5000 0.5000  2 P 2.22
Ir 0.5000 0.0000 0.5000  2 P 2.22
Ir 0.5000 0.5000 0.0000  2 P 2.22

Properties
Space group: Pm-3m (221)
Fermi-level density of states (states/eV per cell): 11.342
Excess energy over the best structure of this formula in the dataset (meV per atom): 0


4.
Entry from the Alexandria database: crystalline ZrPIr2 at its relaxed geometry (PBE).

Cell: 5.1973 5.1973 5.1973 Å, 144.89 127.69 64.56°
Closest atoms and distances in Å follow each position.
Atoms (fractional coordinates):
Zr 0.0000 0.0000 0.0000  2 P 2.65, 6 Ir 2.83-2.95
P 0.2428 0.7428 0.5000  2 Ir 2.30
Ir 0.4350 0.4350 0.0000  2 P 2.30
Ir 0.7150 0.2150 0.5000  4 P 2.79, 4 Ir 2.92-3.00, 4 Zr 2.95-2.97

Properties
Space group: Imm2 (44)
Fermi-level density of states (states/eV per cell): 2.639


Number 1: energy of formation -0.768 eV/atom. Number 2: energy of formation -0.366 eV/atom. Number 3: energy of formation 0.051 eV/atom. Number 4: energy of formation -0.540 eV/atom.